# 1
Below is Ba3Li at its PBEsol-relaxed geometry, with properties calculated at the meta-GGA SCAN level.

E_form = 0.093 eV per atom
SG = No. 187
Spin magnetization = 0.575 μB per cell
Uncorrected energy = -30.17 eV per atom

a = 4.2963 Å, b = 4.2963 Å, c = 12.7135 Å
α = 90.00°, β = 90.00°, γ = 120.00°
With the nearest neighbours (Å) after each atom.
Sites, in units of the cell vectors:
Ba: 0.3333 0.6667 0.0000  12 Ba 4.30-4.36
Ba: 0.0000 0.0000 0.7178  3 Li 3.72
Ba: 0.0000 0.0000 0.2822  3 Li 3.72
Li: 0.3333 0.6667 0.5000  6 Ba 3.72


# 2
Below is BaLi at its PBEsol-relaxed geometry, with properties calculated at the meta-GGA SCAN level.

E_form = 0.047 eV per atom
SG = No. 57
Spin magnetization = 1.255 μB per cell
Uncorrected energy = -20.92 eV per atom

a = 7.4572 Å, b = 11.0835 Å, c = 12.1293 Å
α = 90.00°, β = 90.00°, γ = 90.00°
With the nearest neighbours (Å) after each atom.
Sites, in units of the cell vectors:
Ba: 0.5000 0.2500 0.1205  6 Li 3.71-3.80, 2 Ba 3.73
Ba: 0.0000 0.2500 0.1205  6 Li 3.71-3.80, 2 Ba 3.73
Ba: 0.2500 0.1293 0.8031  7 Li 3.72-4.15
Ba: 0.7500 0.8707 0.1969  7 Li 3.72-4.15
Ba: 0.0000 0.7500 0.8795  6 Li 3.71-3.80, 2 Ba 3.73
Ba: 0.2500 0.6293 0.1969  7 Li 3.72-4.15
Ba: 0.7500 0.9761 0.6273  9 Li 3.63-3.98
Ba: 0.7500 0.3707 0.8031  7 Li 3.72-4.15
Ba: 0.5000 0.7500 0.8795  6 Li 3.71-3.80, 2 Ba 3.73
Ba: 0.2500 0.0239 0.3727  9 Li 3.63-3.98
Ba: 0.7500 0.4761 0.3727  9 Li 3.63-3.98
Ba: 0.2500 0.5239 0.6273  9 Li 3.63-3.98
Li: 0.2500 0.3510 0.3680  2 Li 3.02
Li: 0.7500 0.0436 0.9307  9 Ba 3.74-4.15
Li: 0.5000 0.7500 0.4591  2 Li 3.02
Li: 0.7500 0.5436 0.0693  9 Ba 3.74-4.15
Li: 0.7500 0.1490 0.3680  2 Li 3.02
Li: 0.2500 0.4564 0.9307  9 Ba 3.74-4.15
Li: 0.5000 0.2500 0.5409  2 Li 3.02
Li: 0.0000 0.7500 0.4591  2 Li 3.02
Li: 0.0000 0.2500 0.5409  2 Li 3.02
Li: 0.7500 0.6490 0.6320  2 Li 3.02
Li: 0.2500 0.8510 0.6320  2 Li 3.02
Li: 0.2500 0.9564 0.0693  9 Ba 3.74-4.15


# 3
Below is BaLi2 at its PBEsol-relaxed geometry, with properties calculated at the meta-GGA SCAN level.

E_form = 0.039 eV per atom
SG = No. 62
Spin magnetization = 0.261 μB per cell
Uncorrected energy = -14.74 eV per atom

a = 5.8551 Å, b = 6.6030 Å, c = 10.2106 Å
α = 90.00°, β = 90.00°, γ = 90.00°
With the nearest neighbours (Å) after each atom.
Sites, in units of the cell vectors:
Ba: 0.2500 0.0909 0.8684  10 Li 3.50-3.88
Ba: 0.7500 0.4091 0.3684  10 Li 3.50-3.88
Ba: 0.7500 0.9091 0.1316  10 Li 3.50-3.88
Ba: 0.2500 0.5909 0.6316  10 Li 3.50-3.88
Li: 0.2500 0.7683 0.2951  2 Li 2.90-3.12
Li: 0.2500 0.0902 0.4881  4 Li 2.90-3.17
Li: 0.7500 0.7317 0.7951  2 Li 2.90-3.12
Li: 0.7500 0.9098 0.5119  4 Li 2.90-3.17
Li: 0.2500 0.2683 0.2049  2 Li 2.90-3.12
Li: 0.7500 0.2317 0.7049  2 Li 2.90-3.12
Li: 0.7500 0.4098 0.9881  4 Li 2.90-3.17
Li: 0.2500 0.5902 0.0119  4 Li 2.90-3.17


Q: What is the E_form in the second record?
A: 0.047 eV per atom


Q: Among the records above, which one has the lowest uncorrected energy?
A: Ba3Li


Q: What is the E_form in the second record?
A: 0.047 eV per atom